# 1
# PBE-GGA SiNiIr, optimized geometry
data_SiNiIr
_chemical_formula_sum 'Si2 Ni2 Ir2'
_cell_length_a 3.8383
_cell_length_b 3.8383
_cell_length_c 5.6550
_cell_angle_alpha 90.00
_cell_angle_beta 90.00
_cell_angle_gamma 90.00
_space_group_name_H-M_alt 'P 42/m m c'
_space_group_IT_number 131
_space_group_name_Hall '-P 4c 2'
loop_
_atom_site_label
_atom_site_type_symbol
_atom_site_fract_x
_atom_site_fract_y
_atom_site_fract_z
_atom_site_occupancy
Si1 Si 0.0000 0.5000 0.0000 1
Ni1 Ni 0.0000 0.0000 0.2500 1
Ir1 Ir 0.5000 0.5000 0.2500 1
# Raw total energy in eV for the cell shown: -42.8

# 2
# PBE-GGA SiNiIr, optimized geometry
data_SiNiIr
_chemical_formula_sum 'Si4 Ni4 Ir4'
_cell_length_a 5.4834
_cell_length_b 5.4834
_cell_length_c 5.4834
_cell_angle_alpha 90.00
_cell_angle_beta 90.00
_cell_angle_gamma 90.00
_space_group_name_H-M_alt 'F -4 3 m'
_space_group_IT_number 216
_space_group_name_Hall 'F -4 2 3'
loop_
_atom_site_label
_atom_site_type_symbol
_atom_site_fract_x
_atom_site_fract_y
_atom_site_fract_z
_atom_site_occupancy
Si1 Si 0.0000 0.0000 0.0000 1
Ni1 Ni 0.2500 0.2500 0.2500 1
Ir1 Ir 0.2500 0.2500 0.7500 1
# Raw total energy in eV for the cell shown: -86.0

# 3
# PBE-GGA Si2Ni3Ir, optimized geometry
data_Si2Ni3Ir
_chemical_formula_sum 'Si2 Ni3 Ir1'
_cell_length_a 3.8196
_cell_length_b 3.8196
_cell_length_c 5.4019
_cell_angle_alpha 90.00
_cell_angle_beta 90.00
_cell_angle_gamma 90.00
_space_group_name_H-M_alt 'P -4 m 2'
_space_group_IT_number 115
loop_
_space_group_symop_operation_xyz
'x,y,z'
'y,-x,-z'
'-x,-y,z'
'-y,x,-z'
'-x,y,z'
'-y,-x,-z'
'x,-y,z'
'y,x,-z'
loop_
_atom_site_label
_atom_site_type_symbol
_atom_site_fract_x
_atom_site_fract_y
_atom_site_fract_z
_atom_site_occupancy
Si1 Si 0.0000 0.5000 0.2454 1
Ni1 Ni 0.0000 0.0000 0.0000 1
Ni2 Ni 0.0000 0.0000 0.5000 1
Ni3 Ni 0.5000 0.5000 0.0000 1
Ir1 Ir 0.5000 0.5000 0.5000 1
# Raw total energy in eV for the cell shown: -39.3

# 4
# PBE-GGA SmSiNiIr3, optimized geometry
data_SmSiNiIr3
_chemical_formula_sum 'Sm1 Si1 Ni1 Ir3'
_cell_length_a 5.4490
_cell_length_b 5.4490
_cell_length_c 3.8388
_cell_angle_alpha 90.00
_cell_angle_beta 90.00
_cell_angle_gamma 120.00
_space_group_name_H-M_alt 'P -6 m 2'
_space_group_IT_number 187
_space_group_name_Hall 'P -6 2'
loop_
_atom_site_label
_atom_site_type_symbol
_atom_site_fract_x
_atom_site_fract_y
_atom_site_fract_z
_atom_site_occupancy
Sm1 Sm 0.0000 0.0000 0.0000 1
Si1 Si 0.6667 0.3333 0.0000 1
Ni1 Ni 0.3333 0.6667 0.0000 1
Ir1 Ir 0.0013 0.5006 0.5000 1
# Raw total energy in eV for the cell shown: -46.0

# 5
# PBE-GGA TaSiNiIr, optimized geometry
data_TaSiNiIr
_chemical_formula_sum 'Ta4 Si4 Ni4 Ir4'
_cell_length_a 6.0976
_cell_length_b 6.0976
_cell_length_c 6.0976
_cell_angle_alpha 90.00
_cell_angle_beta 90.00
_cell_angle_gamma 90.00
_space_group_name_H-M_alt 'F -4 3 m'
_space_group_IT_number 216
_space_group_name_Hall 'F -4 2 3'
loop_
_atom_site_label
_atom_site_type_symbol
_atom_site_fract_x
_atom_site_fract_y
_atom_site_fract_z
_atom_site_occupancy
Ta1 Ta 0.0000 0.0000 0.0000 1
Si1 Si 0.2500 0.2500 0.2500 1
Ni1 Ni 0.0000 0.0000 0.5000 1
Ir1 Ir 0.2500 0.2500 0.7500 1
# Raw total energy in eV for the cell shown: -130.6

# 6
# PBE-GGA TbSi2NiIr, optimized geometry
data_TbSi2NiIr
_chemical_formula_sum 'Tb2 Si4 Ni2 Ir2'
_cell_length_a 3.9866
_cell_length_b 3.9866
_cell_length_c 9.9389
_cell_angle_alpha 90.00
_cell_angle_beta 90.00
_cell_angle_gamma 90.00
_space_group_name_H-M_alt 'I -4 m 2'
_space_group_IT_number 119
_space_group_name_Hall 'I -4 -2'
loop_
_atom_site_label
_atom_site_type_symbol
_atom_site_fract_x
_atom_site_fract_y
_atom_site_fract_z
_atom_site_occupancy
Tb1 Tb 0.0000 0.0000 0.0000 1
Si1 Si 0.0000 0.0000 0.3795 1
Ni1 Ni 0.0000 0.5000 0.7500 1
Ir1 Ir 0.0000 0.5000 0.2500 1
# Raw total energy in eV for the cell shown: -69.2

# 7
# PBE-GGA SiTcNiIr, optimized geometry
data_SiTcNiIr
_chemical_formula_sum 'Si4 Tc4 Ni4 Ir4'
_cell_length_a 5.9917
_cell_length_b 5.9917
_cell_length_c 5.9917
_cell_angle_alpha 90.00
_cell_angle_beta 90.00
_cell_angle_gamma 90.00
_space_group_name_H-M_alt 'F -4 3 m'
_space_group_IT_number 216
_space_group_name_Hall 'F -4 2 3'
loop_
_atom_site_label
_atom_site_type_symbol
_atom_site_fract_x
_atom_site_fract_y
_atom_site_fract_z
_atom_site_occupancy
Si1 Si 0.0000 0.0000 0.0000 1
Tc1 Tc 0.2500 0.2500 0.7500 1
Ni1 Ni 0.2500 0.2500 0.2500 1
Ir1 Ir 0.0000 0.0000 0.5000 1
# Raw total energy in eV for the cell shown: -121.9

# 8
# PBE-GGA Tm2Si4NiIr, optimized geometry
data_Tm2Si4NiIr
_chemical_formula_sum 'Tm4 Si8 Ni2 Ir2'
_cell_length_a 4.0725
_cell_length_b 3.9731
_cell_length_c 16.6158
_cell_angle_alpha 90.00
_cell_angle_beta 90.00
_cell_angle_gamma 90.00
_space_group_name_H-M_alt 'A m m 2'
_space_group_IT_number 38
loop_
_space_group_symop_operation_xyz
'x,y,z'
'-x,-y,z'
'-x,y,z'
'x,-y,z'
'x,y+1/2,z+1/2'
'-x,-y+1/2,z+1/2'
'-x,y+1/2,z+1/2'
'x,-y+1/2,z+1/2'
loop_
_atom_site_label
_atom_site_type_symbol
_atom_site_fract_x
_atom_site_fract_y
_atom_site_fract_z
_atom_site_occupancy
Tm1 Tm 0.0000 0.0000 0.0000 1
Tm2 Tm 0.5000 0.0000 0.2085 1
Si1 Si 0.0000 0.0000 0.3649 1
Si2 Si 0.0000 0.0000 0.6424 1
Si3 Si 0.5000 0.0000 0.5681 1
Si4 Si 0.5000 0.0000 0.8616 1
Ni1 Ni 0.5000 0.0000 0.4340 1
Ir1 Ir 0.0000 0.0000 0.7838 1
# Raw total energy in eV for the cell shown: -103.7

# 9
# PBE-GGA Y2Si4NiIr, optimized geometry
data_Y2Si4NiIr
_chemical_formula_sum 'Y4 Si8 Ni2 Ir2'
_cell_length_a 4.0931
_cell_length_b 4.0594
_cell_length_c 16.5546
_cell_angle_alpha 90.00
_cell_angle_beta 90.00
_cell_angle_gamma 90.00
_space_group_name_H-M_alt 'A m m 2'
_space_group_IT_number 38
loop_
_space_group_symop_operation_xyz
'x,y,z'
'-x,-y,z'
'-x,y,z'
'x,-y,z'
'x,y+1/2,z+1/2'
'-x,-y+1/2,z+1/2'
'-x,y+1/2,z+1/2'
'x,-y+1/2,z+1/2'
loop_
_atom_site_label
_atom_site_type_symbol
_atom_site_fract_x
_atom_site_fract_y
_atom_site_fract_z
_atom_site_occupancy
Y1 Y 0.0000 0.0000 0.0000 1
Y2 Y 0.5000 0.0000 0.2089 1
Si1 Si 0.0000 0.0000 0.3472 1
Si2 Si 0.0000 0.0000 0.6415 1
Si3 Si 0.5000 0.0000 0.5655 1
Si4 Si 0.5000 0.0000 0.8457 1
Ni1 Ni 0.0000 0.0000 0.7771 1
Ir1 Ir 0.5000 0.0000 0.4233 1
# Raw total energy in eV for the cell shown: -112.1

# 10
# PBE-GGA SmNiIr, optimized geometry
data_SmNiIr
_chemical_formula_sum 'Sm4 Ni4 Ir4'
_cell_length_a 6.1865
_cell_length_b 6.1865
_cell_length_c 6.1865
_cell_angle_alpha 90.00
_cell_angle_beta 90.00
_cell_angle_gamma 90.00
_space_group_name_H-M_alt 'F -4 3 m'
_space_group_IT_number 216
_space_group_name_Hall 'F -4 2 3'
loop_
_atom_site_label
_atom_site_type_symbol
_atom_site_fract_x
_atom_site_fract_y
_atom_site_fract_z
_atom_site_occupancy
Sm1 Sm 0.0000 0.0000 0.0000 1
Ni1 Ni 0.2500 0.2500 0.2500 1
Ir1 Ir 0.2500 0.2500 0.7500 1
# Formation energy from the elements in eV per atom: 0.496
# Raw total energy in eV for the cell shown: -70.6

# 11
# PBE-GGA SmNi2Ir2, optimized geometry
data_SmNi2Ir2
_chemical_formula_sum 'Sm2 Ni4 Ir4'
_cell_length_a 3.8939
_cell_length_b 3.8939
_cell_length_c 10.6752
_cell_angle_alpha 90.00
_cell_angle_beta 90.00
_cell_angle_gamma 90.00
_space_group_name_H-M_alt 'I 4/m m m'
_space_group_IT_number 139
_space_group_name_Hall '-I 4 2'
loop_
_atom_site_label
_atom_site_type_symbol
_atom_site_fract_x
_atom_site_fract_y
_atom_site_fract_z
_atom_site_occupancy
Sm1 Sm 0.0000 0.0000 0.0000 1
Ni1 Ni 0.0000 0.0000 0.3939 1
Ir1 Ir 0.0000 0.5000 0.2500 1
# Formation energy from the elements in eV per atom: -0.200
# Raw total energy in eV for the cell shown: -69.1

# 12
# PBE-GGA SmNiIr, optimized geometry
data_SmNiIr
_chemical_formula_sum 'Sm4 Ni4 Ir4'
_cell_length_a 6.1721
_cell_length_b 6.1721
_cell_length_c 6.1721
_cell_angle_alpha 90.00
_cell_angle_beta 90.00
_cell_angle_gamma 90.00
_space_group_name_H-M_alt 'F -4 3 m'
_space_group_IT_number 216
_space_group_name_Hall 'F -4 2 3'
loop_
_atom_site_label
_atom_site_type_symbol
_atom_site_fract_x
_atom_site_fract_y
_atom_site_fract_z
_atom_site_occupancy
Sm1 Sm 0.0000 0.0000 0.0000 1
Ni1 Ni 0.2500 0.2500 0.7500 1
Ir1 Ir 0.0000 0.0000 0.5000 1
# Formation energy from the elements in eV per atom: -0.109
# Raw total energy in eV for the cell shown: -77.8

# 13
# PBE-GGA Sm3NiSn3Ir2, optimized geometry
data_Sm3NiSn3Ir2
_chemical_formula_sum 'Sm3 Ni1 Sn3 Ir2'
_cell_length_a 7.4767
_cell_length_b 7.4767
_cell_length_c 4.0219
_cell_angle_alpha 90.00
_cell_angle_beta 90.00
_cell_angle_gamma 120.00
_space_group_name_H-M_alt 'P -6 2 m'
_space_group_IT_number 189
_space_group_name_Hall 'P -6 -2'
loop_
_atom_site_label
_atom_site_type_symbol
_atom_site_fract_x
_atom_site_fract_y
_atom_site_fract_z
_atom_site_occupancy
Sm1 Sm 0.0000 0.4100 0.0000 1
Ni1 Ni 0.0000 0.0000 0.0000 1
Sn1 Sn 0.0000 0.7513 0.5000 1
Ir1 Ir 0.3333 0.6667 0.5000 1
# Raw total energy in eV for the cell shown: -56.3

# 14
# PBE-GGA Sm2ZnNiIr, optimized geometry
data_Sm2ZnNiIr
_chemical_formula_sum 'Sm4 Zn2 Ni2 Ir2'
_cell_length_a 4.2447
_cell_length_b 8.4697
_cell_length_c 5.6495
_cell_angle_alpha 90.00
_cell_angle_beta 90.00
_cell_angle_gamma 90.00
_space_group_name_H-M_alt 'I m m 2'
_space_group_IT_number 44
loop_
_space_group_symop_operation_xyz
'x,y,z'
'-x,-y,z'
'-x,y,z'
'x,-y,z'
'x+1/2,y+1/2,z+1/2'
'-x+1/2,-y+1/2,z+1/2'
'-x+1/2,y+1/2,z+1/2'
'x+1/2,-y+1/2,z+1/2'
loop_
_atom_site_label
_atom_site_type_symbol
_atom_site_fract_x
_atom_site_fract_y
_atom_site_fract_z
_atom_site_occupancy
Sm1 Sm 0.0000 0.2007 0.0000 1
Zn1 Zn 0.0000 0.0000 0.5043 1
Ni1 Ni 0.0000 0.5000 0.2578 1
Ir1 Ir 0.0000 0.5000 0.7239 1
# Formation energy from the elements in eV per atom: -0.571
# Raw total energy in eV for the cell shown: -55.9

# 15
# PBE-GGA Ni2SnIr, optimized geometry
data_Ni2SnIr
_chemical_formula_sum 'Ni8 Sn4 Ir4'
_cell_length_a 6.0999
_cell_length_b 6.0999
_cell_length_c 6.0999
_cell_angle_alpha 90.00
_cell_angle_beta 90.00
_cell_angle_gamma 90.00
_space_group_name_H-M_alt 'F -4 3 m'
_space_group_IT_number 216
_space_group_name_Hall 'F -4 2 3'
loop_
_atom_site_label
_atom_site_type_symbol
_atom_site_fract_x
_atom_site_fract_y
_atom_site_fract_z
_atom_site_occupancy
Ni1 Ni 0.0000 0.0000 0.0000 1
Ni2 Ni 0.2500 0.2500 0.2500 1
Sn1 Sn 0.0000 0.0000 0.5000 1
Ir1 Ir 0.2500 0.2500 0.7500 1
# Raw total energy in eV for the cell shown: -96.9

# 16
# PBE-GGA NiSn2Ir, optimized geometry
data_NiSn2Ir
_chemical_formula_sum 'Ni4 Sn8 Ir4'
_cell_length_a 6.5933
_cell_length_b 6.5933
_cell_length_c 6.5933
_cell_angle_alpha 90.00
_cell_angle_beta 90.00
_cell_angle_gamma 90.00
_space_group_name_H-M_alt 'F -4 3 m'
_space_group_IT_number 216
_space_group_name_Hall 'F -4 2 3'
loop_
_atom_site_label
_atom_site_type_symbol
_atom_site_fract_x
_atom_site_fract_y
_atom_site_fract_z
_atom_site_occupancy
Ni1 Ni 0.0000 0.0000 0.0000 1
Sn1 Sn 0.0000 0.0000 0.5000 1
Sn2 Sn 0.2500 0.2500 0.7500 1
Ir1 Ir 0.2500 0.2500 0.2500 1
# Raw total energy in eV for the cell shown: -84.3

# 17
# PBE-GGA SrNiSn2Ir, optimized geometry
data_SrNiSn2Ir
_chemical_formula_sum 'Sr2 Ni2 Sn4 Ir2'
_cell_length_a 4.6248
_cell_length_b 4.6248
_cell_length_c 10.3991
_cell_angle_alpha 90.00
_cell_angle_beta 90.00
_cell_angle_gamma 90.00
_space_group_name_H-M_alt 'P 4/n m m'
_space_group_IT_number 129
loop_
_space_group_symop_operation_xyz
'x,y,z'
'-x,-y,-z'
'-y+1/2,x,z'
'y+1/2,-x,-z'
'-x+1/2,-y+1/2,z'
'x+1/2,y+1/2,-z'
'y,-x+1/2,z'
'-y,x+1/2,-z'
'x+1/2,-y,-z'
'-x+1/2,y,z'
'-y,-x,-z'
'y,x,z'
'-x,y+1/2,-z'
'x,-y+1/2,z'
'y+1/2,x+1/2,-z'
'-y+1/2,-x+1/2,z'
loop_
_atom_site_label
_atom_site_type_symbol
_atom_site_fract_x
_atom_site_fract_y
_atom_site_fract_z
_atom_site_occupancy
Sr1 Sr 0.2500 0.2500 0.2402 1
Ni1 Ni 0.2500 0.7500 0.0000 1
Sn1 Sn 0.2500 0.2500 0.8904 1
Sn2 Sn 0.2500 0.7500 0.5000 1
Ir1 Ir 0.2500 0.2500 0.6346 1
# Raw total energy in eV for the cell shown: -52.7

# 18
# PBE-GGA TaNiSnIr, optimized geometry
data_TaNiSnIr
_chemical_formula_sum 'Ta4 Ni4 Sn4 Ir4'
_cell_length_a 6.3590
_cell_length_b 6.3590
_cell_length_c 6.3590
_cell_angle_alpha 90.00
_cell_angle_beta 90.00
_cell_angle_gamma 90.00
_space_group_name_H-M_alt 'F -4 3 m'
_space_group_IT_number 216
_space_group_name_Hall 'F -4 2 3'
loop_
_atom_site_label
_atom_site_type_symbol
_atom_site_fract_x
_atom_site_fract_y
_atom_site_fract_z
_atom_site_occupancy
Ta1 Ta 0.0000 0.0000 0.0000 1
Ni1 Ni 0.0000 0.0000 0.5000 1
Sn1 Sn 0.2500 0.2500 0.2500 1
Ir1 Ir 0.2500 0.2500 0.7500 1
# Raw total energy in eV for the cell shown: -121.4

# 19
# PBE-GGA Tb3Ni2Sn3Ir, optimized geometry
data_Tb3Ni2Sn3Ir
_chemical_formula_sum 'Tb3 Ni2 Sn3 Ir1'
_cell_length_a 7.3385
_cell_length_b 7.3385
_cell_length_c 4.0176
_cell_angle_alpha 90.00
_cell_angle_beta 90.00
_cell_angle_gamma 120.00
_space_group_name_H-M_alt 'P -6 2 m'
_space_group_IT_number 189
_space_group_name_Hall 'P -6 -2'
loop_
_atom_site_label
_atom_site_type_symbol
_atom_site_fract_x
_atom_site_fract_y
_atom_site_fract_z
_atom_site_occupancy
Tb1 Tb 0.0000 0.5936 0.0000 1
Ni1 Ni 0.3333 0.6667 0.5000 1
Sn1 Sn 0.0000 0.2635 0.5000 1
Ir1 Ir 0.0000 0.0000 0.0000 1
# Raw total energy in eV for the cell shown: -52.4

# 20
# PBE-GGA Tb2TmNiSn3Ir2, optimized geometry
data_Tb2TmNiSn3Ir2
_chemical_formula_sum 'Tb4 Tm2 Ni2 Sn6 Ir4'
_cell_length_a 3.7948
_cell_length_b 13.0391
_cell_length_c 7.5459
_cell_angle_alpha 90.00
_cell_angle_beta 90.00
_cell_angle_gamma 90.00
_space_group_name_H-M_alt 'A m m 2'
_space_group_IT_number 38
loop_
_space_group_symop_operation_xyz
'x,y,z'
'-x,-y,z'
'-x,y,z'
'x,-y,z'
'x,y+1/2,z+1/2'
'-x,-y+1/2,z+1/2'
'-x,y+1/2,z+1/2'
'x,-y+1/2,z+1/2'
loop_
_atom_site_label
_atom_site_type_symbol
_atom_site_fract_x
_atom_site_fract_y
_atom_site_fract_z
_atom_site_occupancy
Tb1 Tb 0.0000 0.2036 0.0000 1
Tm1 Tm 0.0000 0.0000 0.3896 1
Ni1 Ni 0.0000 0.0000 0.7949 1
Sn1 Sn 0.5000 0.0000 0.0522 1
Sn2 Sn 0.5000 0.1272 0.6682 1
Ir1 Ir 0.5000 0.1646 0.2974 1
# Raw total energy in eV for the cell shown: -112.4